The following is a PBE-GGA calculation of an optimized crystal structure of YMg2Zn2, from the Alexandria database.

```
data_YMg2Zn2
_cell_length_a 5.0056
_cell_length_b 4.7323
_cell_length_c 8.9364
_cell_angle_alpha 90.00
_cell_angle_beta 102.01
_cell_angle_gamma 90.00
_space_group_name_H-M_alt 'P 1 21/m 1'
_space_group_IT_number 11
loop_
_space_group_symop_operation_xyz
'x,y,z'
'-x,-y,-z'
'-x,y+1/2,-z'
'x,-y+1/2,z'
loop_
_atom_site_label
_atom_site_fract_x
_atom_site_fract_y
_atom_site_fract_z
Y1 0.1851 0.2500 0.3054
Mg1 0.3246 0.2500 0.6891
Mg2 0.3815 0.7500 0.9242
Zn1 0.0374 0.2500 0.9261
Zn2 0.2446 0.7500 0.5100
```

Calculated values
For the energy of formation, the calculation gives -0.2100 eV/atom. The value obtained for the density of states at the Fermi level is 4.015 states/eV/cell. The calculation puts the volume at 20.71 Å³ per atom.